VASP calculation (PBE with a Hubbard U) on Ac2YFeO6 after structural relaxation. Values from VASP.

Geometry as Quantum ESPRESSO input:
```
&SYSTEM
  ibrav = 0, nat = 20, ntyp = 4
/
ATOMIC_SPECIES
Ac 227.00 Ac.upf
Y 88.91 Y.upf
Fe 55.84 Fe.upf
O 16.00 O.upf
ATOMIC_POSITIONS angstrom
Ac -0.0353 0.2137 2.0570
Ac -2.9102 2.7229 6.1939
Ac 2.9927 3.1504 2.0798
Ac 0.1178 5.6596 6.2166
Y 2.9161 0.0000 0.0000
Y 0.0413 2.9367 4.1368
Fe -2.8749 0.0000 4.1368
Fe 0.0000 2.9367 0.0000
O -4.5955 1.3331 7.9052
O -1.7207 1.6036 3.7684
O -4.1776 4.1174 7.9107
O -1.3028 4.6925 3.7738
O -2.3816 0.1299 6.0838
O 0.4933 2.8067 1.9470
O -0.4107 3.0666 6.3267
O 2.4641 5.7434 2.1899
O 1.3853 1.1808 4.4998
O 4.2602 1.7559 0.3630
O 1.8032 4.2697 4.5052
O 4.6781 4.5402 0.3684
CELL_PARAMETERS angstrom
5.8323 0.0000 0.0000
0.0000 5.8733 0.0000
-5.7497 0.0000 8.2736
```

## Properties
Electronic total energy   -7.769 eV/atom
Calculated volume   283.4 Å³/cell
Space-group type   P2_1/c